1.
# CaSc2F GGA-PBE optimized geometry
# - E_form (uncorrected): -1.00 eV per atom
# - DFT total energy: -5.131 eV/atom
data_CaSc2F
_symmetry_space_group_name_H-M 'R -3 m'
_symmetry_Int_Tables_number 166
_symmetry_space_group_name_Hall '-R 3 2"'
_cell_length_a 3.5060
_cell_length_b 3.5060
_cell_length_c 29.3598
_cell_angle_alpha 90.00
_cell_angle_beta 90.00
_cell_angle_gamma 120.00
loop_
_atom_site_label
_atom_site_fract_x
_atom_site_fract_y
_atom_site_fract_z
Ca1 0.0000 0.0000 0.0000
Sc1 0.0000 0.0000 0.4311
F1 0.0000 0.0000 0.5000

---

2.
# EuSnPt GGA-PBE optimized geometry
# - Formation energy from the elements: -0.9416 eV/atom
# - DFT total energy: -7.714 eV/atom
data_EuSnPt
_symmetry_space_group_name_H-M 'P n m a'
_symmetry_Int_Tables_number 62
_cell_length_a 7.504
_cell_length_b 4.697
_cell_length_c 8.062
_cell_angle_alpha 90.00
_cell_angle_beta 90.00
_cell_angle_gamma 90.00
loop_
_symmetry_equiv_pos_as_xyz
'x,y,z'
'-x,-y,-z'
'-x+1/2,-y,z+1/2'
'x+1/2,y,-z+1/2'
'x+1/2,-y+1/2,-z+1/2'
'-x+1/2,y+1/2,z+1/2'
'-x,y+1/2,-z'
'x,-y+1/2,z'
loop_
_atom_site_label
_atom_site_fract_x
_atom_site_fract_y
_atom_site_fract_z
Eu1 0.020 0.250 0.187
Sn1 0.167 0.250 0.576
Pt1 0.209 0.750 0.398

---

3.
# CePm2Mn GGA-PBE optimized geometry
# - Formation energy from the elements: 0.2079 eV/atom
# - DFT total energy: -5.943 eV/atom
data_CePm2Mn
_symmetry_space_group_name_H-M 'P 4/m m m'
_symmetry_Int_Tables_number 123
_symmetry_space_group_name_Hall '-P 4 2'
_cell_length_a 3.556
_cell_length_b 3.556
_cell_length_c 8.857
_cell_angle_alpha 90.00
_cell_angle_beta 90.00
_cell_angle_gamma 90.00
loop_
_atom_site_label
_atom_site_fract_x
_atom_site_fract_y
_atom_site_fract_z
Ce1 0.000 0.000 0.000
Pm1 0.500 0.500 0.292
Mn1 0.000 0.000 0.500

---

4.
# ThSi2Ru3 GGA-PBE optimized geometry
# - E_form (uncorrected): -0.75 eV per atom
# - DFT total energy: -8.429 eV/atom
data_ThSi2Ru3
_symmetry_space_group_name_H-M 'P 6/m m m'
_symmetry_Int_Tables_number 191
_symmetry_space_group_name_Hall '-P 6 2'
_cell_length_a 5.6354
_cell_length_b 5.6354
_cell_length_c 3.6223
_cell_angle_alpha 90.00
_cell_angle_beta 90.00
_cell_angle_gamma 120.00
loop_
_atom_site_label
_atom_site_fract_x
_atom_site_fract_y
_atom_site_fract_z
Th1 0.0000 0.0000 0.0000
Si1 0.3333 0.6667 0.0000
Ru1 0.0000 0.5000 0.5000

---

5.
# Pr3Pt2Rh7 GGA-PBE optimized geometry
# - Formation energy from the elements: -0.5900 eV/atom
# - DFT total energy: -7.080 eV/atom
data_Pr3Pt2Rh7
_symmetry_space_group_name_H-M 'R -3 m'
_symmetry_Int_Tables_number 166
_symmetry_space_group_name_Hall '-R 3 2"'
_cell_length_a 5.3737
_cell_length_b 5.3737
_cell_length_c 26.7142
_cell_angle_alpha 90.00
_cell_angle_beta 90.00
_cell_angle_gamma 120.00
loop_
_atom_site_label
_atom_site_fract_x
_atom_site_fract_y
_atom_site_fract_z
Pr1 0.0000 0.0000 0.0000
Pr2 0.0000 0.0000 0.1394
Pt1 0.0000 0.0000 0.3329
Rh1 0.0000 0.0000 0.5000
Rh2 0.0005 0.5003 0.9173

---

6.
# ZrS2Cl GGA-PBE optimized geometry
# - E_form (uncorrected): -0.48 eV per atom
# - DFT total energy: -5.141 eV/atom
data_ZrS2Cl
_symmetry_space_group_name_H-M 'F m -3 m'
_symmetry_Int_Tables_number 225
_symmetry_space_group_name_Hall '-F 4 2 3'
_cell_length_a 6.590
_cell_length_b 6.590
_cell_length_c 6.590
_cell_angle_alpha 90.00
_cell_angle_beta 90.00
_cell_angle_gamma 90.00
loop_
_atom_site_label
_atom_site_fract_x
_atom_site_fract_y
_atom_site_fract_z
Zr1 0.000 0.000 0.000
S1 0.250 0.250 0.250
Cl1 0.000 0.000 0.500

---

7.
# Pr3TeC GGA-PBE optimized geometry
# - E_form (uncorrected): -0.65 eV per atom
# - DFT total energy: -5.995 eV/atom
data_Pr3TeC
_symmetry_space_group_name_H-M 'P n m a'
_symmetry_Int_Tables_number 62
_cell_length_a 8.892
_cell_length_b 4.037
_cell_length_c 14.946
_cell_angle_alpha 90.00
_cell_angle_beta 90.00
_cell_angle_gamma 90.00
loop_
_symmetry_equiv_pos_as_xyz
'x,y,z'
'-x,-y,-z'
'-x+1/2,-y,z+1/2'
'x+1/2,y,-z+1/2'
'x+1/2,-y+1/2,-z+1/2'
'-x+1/2,y+1/2,z+1/2'
'-x,y+1/2,-z'
'x,-y+1/2,z'
loop_
_atom_site_label
_atom_site_fract_x
_atom_site_fract_y
_atom_site_fract_z
Pr1 0.024 0.250 0.100
Pr2 0.178 0.250 0.504
Pr3 0.213 0.750 0.297
Te1 0.077 0.750 0.674
C1 0.161 0.250 0.944

---

8.
# TbHo2Ir GGA-PBE optimized geometry
# - Formation energy from the elements: -0.5877 eV/atom
# - DFT total energy: -6.249 eV/atom
data_TbHo2Ir
_symmetry_space_group_name_H-M 'P n m a'
_symmetry_Int_Tables_number 62
_cell_length_a 7.223
_cell_length_b 9.256
_cell_length_c 6.383
_cell_angle_alpha 90.00
_cell_angle_beta 90.00
_cell_angle_gamma 90.00
loop_
_symmetry_equiv_pos_as_xyz
'x,y,z'
'-x,-y,-z'
'-x+1/2,-y,z+1/2'
'x+1/2,y,-z+1/2'
'x+1/2,-y+1/2,-z+1/2'
'-x+1/2,y+1/2,z+1/2'
'-x,y+1/2,-z'
'x,-y+1/2,z'
loop_
_atom_site_label
_atom_site_fract_x
_atom_site_fract_y
_atom_site_fract_z
Tb1 0.034 0.250 0.132
Ho1 0.176 0.063 0.673
Ir1 0.117 0.750 0.450